The following is a DFT calculation (PBE-GGA) of crystalline Na6PtPb2 at its relaxed geometry.

```
Na6PtPb2
1.0
-2.4221 -2.6717 -1.3725
6.2951 -6.3223 -1.9277
-5.4963 -0.3616 7.2784
Na Pt Pb
6 1 2
direct
0.7890 0.4905 0.1499
0.2110 0.5095 0.8501
0.6822 0.7033 0.7033
0.7890 0.1499 0.4905
0.2110 0.8501 0.5095
0.3178 0.2967 0.2967
0.0000 0.0000 0.0000
0.5000 0.8694 0.1306
0.5000 0.1306 0.8694
```

Properties
- space-group type = C2/m, No. 12
- offset from the most stable computed form (meV per atom) = 37
- total magnetization (μB/f.u.) = 0.000
- ΔE_f (kcal/mol of atoms) = -2.725